Computed, not measured: an optimized crystal structure of PbAuSN2 at the GGA-PBEsol level of DFT.

Unit cell a=4.112 b=4.112 c=5.054 alpha=90.00 beta=90.00 gamma=90.00
Space group P4/mmm (No. 123)
Asymmetric unit:
Pb: 0.000 0.000 0.000 (multiplicity 1)
Au: 0.500 0.500 0.500 (multiplicity 1)
S: 0.500 0.500 0.000 (multiplicity 1)
N: 0.000 0.500 0.500 (multiplicity 2)

Computed properties:
* total magnetic moment: 0.53 μB/atom
* uncorrected formation energy: 1.2928 eV/atom